Record 1
Ta2SbOs | PBE-GGA | optimized geometry

Results
Formation energy without anion corrections in eV/atom: 0.140

```
4
Lattice="3.366 0.000 0.000 0.000 3.366 0.000 0.000 0.000 6.441" Properties=species:S:1:pos:R:3 pbc="T T T"
Ta 0.000 0.000 0.000
Ta 1.683 1.683 1.762
Sb 1.683 1.683 4.936
Os 0.000 0.000 3.065
```


Record 2
TaSbOs2 | PBE-GGA | optimized geometry

Results
Formation energy without anion corrections in eV/atom: 0.359

```
4
Lattice="3.022 0.000 0.000 0.000 3.022 0.000 0.000 0.000 7.402" Properties=species:S:1:pos:R:3 pbc="T T T"
Ta 0.000 0.000 0.000
Sb 1.511 1.511 5.325
Os 0.000 0.000 3.509
Os 1.511 1.511 1.794
```


Record 3
TaSbOs2 | PBE-GGA | optimized geometry

Results
Formation energy without anion corrections in eV/atom: 0.284

```
4
Lattice="3.080 0.000 0.000 0.000 4.094 0.000 0.000 0.000 5.440" Properties=species:S:1:pos:R:3 pbc="T T T"
Ta 0.000 0.000 0.000
Sb 1.540 2.047 3.721
Os 0.000 0.000 2.758
Os 1.540 2.047 0.979
```


Record 4
Ta2SbOs | PBE-GGA | optimized geometry

Results
Formation energy without anion corrections in eV/atom: 0.058

```
8
Lattice="3.370 0.000 0.000 0.000 4.531 0.000 0.000 0.000 9.186" Properties=species:S:1:pos:R:3 pbc="T T T"
Ta 0.000 0.000 2.254
Ta 0.000 0.000 6.933
Ta 1.685 2.266 2.339
Ta 1.685 2.266 6.847
Sb 0.000 2.266 0.000
Sb 1.685 0.000 4.593
Os 0.000 2.266 4.593
Os 1.685 0.000 0.000
```


Record 5
TaSb2TeOs | PBE-GGA | optimized geometry

Results
Formation energy without anion corrections in eV/atom: 1.511
E above lowest polymorph in eV per atom: 0.2117

```
5
Lattice="5.335 0.000 0.000 0.000 5.335 0.000 0.000 0.000 5.240" Properties=species:S:1:pos:R:3 pbc="T T T"
Ta 0.000 0.000 0.000
Sb 0.000 2.668 0.000
Sb 2.668 0.000 0.000
Te 0.000 0.000 2.620
Os 2.668 2.668 2.620
```


Record 6
TaSb2TeOs | PBE-GGA | optimized geometry

Results
Formation energy without anion corrections in eV/atom: 1.300
E above lowest polymorph in eV per atom: 0.0000

```
5
Lattice="4.985 0.000 0.000 0.000 4.985 0.000 0.000 0.000 5.532" Properties=species:S:1:pos:R:3 pbc="T T T"
Ta 0.000 0.000 0.000
Sb 0.000 2.493 2.766
Sb 2.493 0.000 2.766
Te 2.493 2.493 0.000
Os 2.493 2.493 2.766
```


Please write out number 1 again, unchanged.
Ta2SbOs | PBE-GGA | optimized geometry

Results
Formation energy without anion corrections in eV/atom: 0.140

```
4
Lattice="3.366 0.000 0.000 0.000 3.366 0.000 0.000 0.000 6.441" Properties=species:S:1:pos:R:3 pbc="T T T"
Ta 0.000 0.000 0.000
Ta 1.683 1.683 1.762
Sb 1.683 1.683 4.936
Os 0.000 0.000 3.065
```


Among the records above, which one has the highest formation energy without anion corrections? number 5